VASP calculation (PBE-GGA) on a relaxed Sr2Ga3CuGe4 crystal.

extended XYZ file:
```
10
Lattice="4.576 0.000 0.000 0.000 4.576 0.000 0.000 0.000 10.292" Properties=species:S:1:pos:R:3 pbc="T T T"
Sr 0.000 2.288 2.478
Sr 2.288 0.000 7.814
Ga 0.000 0.000 0.000
Ga 0.000 2.288 6.494
Ga 2.288 0.000 3.798
Cu 2.288 2.288 0.000
Ge 0.000 0.000 5.146
Ge 0.000 2.288 9.029
Ge 2.288 0.000 1.264
Ge 2.288 2.288 5.146
```

Results
DFT formation energy   -0.326 eV/atom
SG   P-4m2